[1]
Below is a relaxed Si2AuS crystal, with properties calculated at the GGA-PBE level.

Output
calculated total energy: -35.53 eV/cell
ΔE_f (raw): 0.121 eV/atom
DOS at the Fermi energy: 1.75 states/eV/f.u.

Cell lengths 5.615, 5.615, 6.759 Å; angles 65.46, 65.46, 90.00 degrees
Sites, in units of the cell vectors:
Au (0.000, 0.000, 0.000)
S (0.500, 0.500, 0.000)
Si (0.125, 0.625, 0.250)
S (0.250, 0.750, 0.500)
Si (0.625, 0.125, 0.250)
Si (0.875, 0.875, 0.750)
Au (0.750, 0.250, 0.500)
Si (0.375, 0.375, 0.750)

[2]
Below is a relaxed LiZrMo crystal, with properties calculated at the GGA-PBE level.

Output
calculated total energy: -20.22 eV/cell
E above lowest polymorph: 0.084 eV per atom
energy relative to the elements: 358.8 meV per atom
DOS at the Fermi energy: 2.26 states/eV/f.u.

Cell lengths 5.130, 5.130, 5.130 Å; angles 145.60, 136.63, 56.49 degrees
Sites, in units of the cell vectors:
Zr (0.669, 0.669, 0.000)
Li (0.991, 0.991, 0.000)
Mo (0.340, 0.340, 0.000)

[3]
Below is a relaxed Cs5Tl2S5 crystal, with properties calculated at the GGA-PBE level.

Output
calculated total energy: -39.15 eV/cell
ΔE_f (raw): -0.793 eV/atom
DOS at the Fermi energy: 1.57 states/eV/f.u.

Cell lengths 4.737, 8.379, 12.229 Å; angles 100.20, 90.00, 106.42 degrees
Sites, in units of the cell vectors:
Cs (0.646, 0.292, 0.075)
Tl (0.972, 0.943, 0.210)
S (0.113, 0.225, 0.351)
Cs (0.225, 0.451, 0.630)
S (0.381, 0.763, 0.218)
Tl (0.028, 0.057, 0.790)
S (0.887, 0.775, 0.649)
S (0.619, 0.237, 0.782)
S (0.000, 0.000, 0.000)
Cs (0.775, 0.549, 0.370)
Cs (0.354, 0.708, 0.925)
Cs (0.500, 0.000, 0.500)

Number 1: spin magnetization 0.0000 μB/atom, ρ 5.493 g/cm³. Number 2: spin magnetization 0.0000 μB/atom, ρ 6.203 g/cm³. Number 3: spin magnetization 0.0000 μB/atom, ρ 4.477 g/cm³.